(1)
DFT (PBE-GGA) results for an optimized crystal structure of W3IN.

The structure in extended XYZ format:
```
5
Lattice="4.267 0.000 0.000 0.000 4.267 0.000 0.000 0.000 4.267" Properties=species:S:1:pos:R:3 pbc="T T T"
I 2.134 2.134 2.134
W 0.000 2.134 0.000
W 0.000 0.000 2.134
W 2.134 0.000 0.000
N 0.000 0.000 0.000
```

Summary:
Polymorph energy (0 for the lowest one) (meV per atom): 0.0
V (A^3/atom): 15.540
Formation energy from raw total energies (meV per atom): 1002
DFT total energy (eV per atom): -8.74

(2)
DFT (PBE-GGA) results for an optimized crystal structure of W2IN.

The structure in extended XYZ format:
```
8
Lattice="-0.505 0.936 4.739 3.557 -3.151 1.002 5.776 3.542 2.405" Properties=species:S:1:pos:R:3 pbc="T T T"
I 0.000 0.000 0.000
I 3.398 1.685 5.007
W 1.639 0.954 3.068
W 3.538 -0.845 2.439
W 5.942 1.414 4.087
W 6.537 1.130 6.695
N 1.526 -1.108 2.870
N 5.430 -0.358 3.138
```

Summary:
Polymorph energy (0 for the lowest one) (meV per atom): 0.0
V (A^3/atom): 18.623
Formation energy from raw total energies (meV per atom): 866
DFT total energy (eV per atom): -8.08

(3)
DFT (PBE-GGA) results for an optimized crystal structure of W3IN.

The structure in extended XYZ format:
```
5
Lattice="4.855 0.000 0.000 0.000 4.855 0.000 0.000 0.000 4.855" Properties=species:S:1:pos:R:3 pbc="T T T"
I 0.000 0.000 0.000
W 0.000 2.427 0.000
W 0.000 0.000 2.427
W 2.427 0.000 0.000
N 2.427 2.427 2.427
```

Summary:
Polymorph energy (0 for the lowest one) (meV per atom): 3027.6
V (A^3/atom): 22.885
Formation energy from raw total energies (meV per atom): 4030
DFT total energy (eV per atom): -5.72

(4)
DFT (PBE-GGA) results for an optimized crystal structure of WI2N.

The structure in extended XYZ format:
```
4
Lattice="0.000 3.330 3.330 3.330 0.000 3.330 3.330 3.330 0.000" Properties=species:S:1:pos:R:3 pbc="T T T"
I 1.665 1.665 1.665
I 4.994 4.994 4.994
W 3.330 3.330 3.330
N 0.000 0.000 0.000
```

Summary:
Polymorph energy (0 for the lowest one) (meV per atom): 0.0
V (A^3/atom): 18.456
Formation energy from raw total energies (meV per atom): 1897
DFT total energy (eV per atom): -4.20

Q: Which value of polymorph energy (0 for the lowest one) does entry 2 give?
A: 0.0 meV per atom

Repeat the first record exactly.
DFT (PBE-GGA) results for an optimized crystal structure of W3IN.

The structure in extended XYZ format:
```
5
Lattice="4.267 0.000 0.000 0.000 4.267 0.000 0.000 0.000 4.267" Properties=species:S:1:pos:R:3 pbc="T T T"
I 2.134 2.134 2.134
W 0.000 2.134 0.000
W 0.000 0.000 2.134
W 2.134 0.000 0.000
N 0.000 0.000 0.000
```

Summary:
Polymorph energy (0 for the lowest one) (meV per atom): 0.0
V (A^3/atom): 15.540
Formation energy from raw total energies (meV per atom): 1002
DFT total energy (eV per atom): -8.74

Q: The highest polymorph energy (0 for the lowest one) belongs to which entry?
A: number 3